1.
Material: La6SnTe3P2
Method: DFT, PBE
State: optimized geometry

POSCAR file:
```
La6SnTe3P2
1.0
4.457 0.000 0.000
0.000 9.080 0.227
-2.229 -2.716 9.475
La Sn Te P
6 1 3 2
direct
0.325 0.434 0.651
0.010 0.251 0.020
0.667 0.108 0.334
0.333 0.892 0.666
0.675 0.566 0.349
0.990 0.749 0.980
0.500 0.000 0.000
0.500 0.500 0.000
0.836 0.168 0.672
0.164 0.832 0.328
0.169 0.337 0.339
0.831 0.663 0.661
```

Computed properties:
**V**: 32.2 A^3/atom
**E_form (uncorrected)**: -1.49 eV/atom
**Total magnetic moment**: 0.0 μB per formula unit
**ρ**: 6.01 Mg/m³

***

2.
Material: AgCF2
Method: DFT, PBE
State: optimized geometry

POSCAR file:
```
AgCF2
1.0
-3.917 -4.938 -2.130
2.404 0.170 -4.816
5.477 -4.899 2.561
F Ag C
8 4 4
direct
0.614 0.189 0.790
0.614 0.689 0.290
0.386 0.689 0.710
0.254 0.439 0.517
0.254 0.939 0.017
0.746 0.439 0.483
0.386 0.189 0.210
0.746 0.939 0.983
0.977 0.869 0.674
0.023 0.869 0.326
0.977 0.369 0.174
0.023 0.369 0.826
0.209 0.086 0.154
0.791 0.086 0.846
0.209 0.586 0.654
0.791 0.586 0.346
```

Computed properties:
**V**: 17.4 A^3/atom
**Energy relative to the lowest polymorph listed for this composition**: 0.018 eV/atom
**E_form (uncorrected)**: -0.45 eV/atom
**Total magnetic moment**: 0.0 μB per formula unit
**ρ**: 3.77 Mg/m³

***

3.
Material: Ga2CuAsF
Method: DFT, PBE
State: optimized geometry

POSCAR file:
```
Ga2CuAsF
1.0
-1.364 -4.182 1.812
3.032 0.123 2.565
-2.756 2.264 3.149
As Ga F Cu
1 2 1 1
direct
0.500 0.500 0.500
0.000 0.000 0.500
0.500 0.000 0.000
0.000 0.000 0.000
0.000 0.500 0.000
```

Computed properties:
**V**: 18.0 A^3/atom
**E_form (uncorrected)**: -0.15 eV/atom
**Total magnetic moment**: 0.0 μB per formula unit
**ρ**: 5.48 Mg/m³